# ZrCo2Ni, relaxed, DFT GGA-PBE
data_ZrCo2Ni
_space_group_name_H-M_alt 'P 1'
_space_group_IT_number 1
_space_group_name_Hall 'P 1'
_cell_length_a 8.760
_cell_length_b 8.760
_cell_length_c 8.760
_cell_angle_alpha 17.91
_cell_angle_beta 17.91
_cell_angle_gamma 17.91
loop_
_atom_site_label
_atom_site_fract_x
_atom_site_fract_y
_atom_site_fract_z
Zr1 0.000 0.000 0.000
Co1 0.500 0.500 0.500
Co2 0.761 0.761 0.761
Ni1 0.242 0.242 0.242
# N(E_F) in states/eV per cell: 5.20
# Symmetry: R3m, No. 160
# M_tot in Bohr magnetons per cell: 3.58
# Final energy in eV per atom: -6.857
# Energy of formation in eV/atom: 0.278